Material: MoPt3C
Method: DFT, GGA-PBEsol
State: optimized geometry

abc: 4.1533 4.1533 4.1533
angles: 90.00 90.00 90.00
With the nearest neighbours (Å) after each atom.
Space group Pm-3m (No. 221)
Inequivalent atoms, fractional coordinates:
Mo (0.0000, 0.0000, 0.0000) x1  12 Pt 2.94
Pt (0.0000, 0.5000, 0.5000) x3  2 C 2.08
C (0.5000, 0.5000, 0.5000) x1  6 Pt 2.08

E_tot = -7.74 eV per atom
Energy of formation = 0.72 eV/atom